Material: HfZrTc2
Method: DFT, GGA-PBE
State: relaxed Values from VASP.

Results
Magnetization, Bohr magnetons per cell: 0.0
Final energy, eV/atom: -9.4608
ΔH_f (0 K), eV per atom: 0.348
DOS at the Fermi energy, states/eV/cell: 10.99
Offset from the most stable computed form, meV per atom: 766

Quantum ESPRESSO input file:
```
&SYSTEM
  ibrav = 0, nat = 8, ntyp = 3
/
ATOMIC_SPECIES
Hf 178.49 Hf.upf
Tc 98.00 Tc.upf
Zr 91.22 Zr.upf
CELL_PARAMETERS angstrom
-0.3685 7.1298 1.2642
-5.8453 -1.0400 4.1617
-1.4244 2.7269 4.9966
ATOMIC_POSITIONS angstrom
Hf 0.0000 0.0000 0.0000
Hf -2.4499 6.4508 4.4869
Tc -1.3176 5.0182 2.5613
Tc -4.0549 0.9127 4.0064
Tc -3.3900 4.3304 5.7762
Tc -6.5138 7.3723 8.5012
Zr -3.1069 3.0449 2.7130
Zr -5.1883 2.3659 5.9356
```